No. 1
Here is a relaxed structure of Tb4GaIr4 from Alexandria via LeMat-Bulk. Energies are from PBE.

Summary:
For the density of states at the Fermi level, the calculation gives 0.57 states/eV per atom. Its magnetic moment is 0.00 μB/f.u. The calculation puts the energy of formation from the pure elements at -0.66 eV/atom.

POSCAR file:
```
Tb4GaIr4
1.0
5.603 0.000 0.000
0.000 8.523 0.000
0.000 0.000 8.523
Ir Tb Ga
8 8 2
Direct
0.388 0.996 0.634 Ir
0.612 0.004 0.366 Ir
0.888 0.366 0.496 Ir
0.888 0.134 0.004 Ir
0.388 0.504 0.866 Ir
0.612 0.496 0.134 Ir
0.112 0.634 0.504 Ir
0.112 0.866 0.996 Ir
0.113 0.948 0.318 Tb
0.887 0.448 0.818 Tb
0.613 0.818 0.052 Tb
0.113 0.552 0.182 Tb
0.613 0.682 0.448 Tb
0.387 0.318 0.552 Tb
0.887 0.052 0.682 Tb
0.387 0.182 0.948 Tb
0.750 0.250 0.250 Ga
0.250 0.750 0.750 Ga
```

---

No. 2
Here is a relaxed structure of Y2NbAlTc from Alexandria via LeMat-Bulk. Energies are from PBE.

Summary:
For the density of states at the Fermi level, the calculation gives 1.10 states/eV per atom. Its magnetic moment is 2.23 μB/f.u. The calculation puts the energy of formation from the pure elements at 0.91 eV/atom.

POSCAR file:
```
Y2NbAlTc
1.0
5.386 0.000 0.000
0.000 4.501 0.000
0.000 0.000 5.386
Nb Y Al Tc
1 2 1 1
Direct
0.500 0.500 0.500 Nb
0.500 0.000 0.000 Y
0.000 0.000 0.500 Y
0.000 0.000 0.000 Al
0.000 0.500 0.000 Tc
```

---

No. 3
Here is a relaxed structure of Ce2HoIn from Alexandria via LeMat-Bulk. Energies are from PBE.

Summary:
For the density of states at the Fermi level, the calculation gives 3.39 states/eV per atom. Its magnetic moment is 2.93 μB/f.u. The distance to the lowest polymorph of the same formula comes out at 211 meV per atom. The calculation puts the energy of formation from the pure elements at -0.03 eV/atom.

POSCAR file:
```
Ce2HoIn
1.0
5.489 0.000 0.000
2.745 4.754 0.000
2.745 1.585 4.482
Ce In Ho
2 1 1
Direct
0.750 0.750 0.750 Ce
0.250 0.250 0.250 Ce
0.500 0.500 0.500 In
0.000 0.000 0.000 Ho
```

---

No. 4
Here is a relaxed structure of Cd3NiSn from Alexandria via LeMat-Bulk. Energies are from PBE.

Summary:
For the density of states at the Fermi level, the calculation gives 4.50 states/eV per atom. Its magnetic moment is 0.01 μB/f.u. The distance to the lowest polymorph of the same formula comes out at 743 meV per atom. The calculation puts the energy of formation from the pure elements at 0.97 eV/atom.

POSCAR file:
```
Cd3NiSn
1.0
5.493 0.000 0.000
0.000 5.493 0.000
0.000 0.000 5.493
Cd Sn Ni
3 1 1
Direct
0.000 0.500 0.000 Cd
0.500 0.000 0.000 Cd
0.000 0.000 0.500 Cd
0.000 0.000 0.000 Sn
0.500 0.500 0.500 Ni
```